Density functional theory data (PBE-GGA) for crystalline K2Ga3CuAu4 at its relaxed geometry.

- space group = P-4m2 (115)
- DFT formation energy (eV/atom) = -0.2459
- D(E_F) (states/eV/f.u.) = 3.21
- total magnetic moment (μB/f.u.) = 0.000
- E (eV per atom) = -3.094

Geometry as POSCAR:
```
K2Ga3CuAu4
1.0
4.638 0.000 0.000
0.000 4.638 0.000
0.000 0.000 10.496
Au K Ga Cu
4 2 3 1
Direct
0.500 0.500 0.000
0.500 0.000 0.625
0.000 0.500 0.375
0.000 0.000 0.000
0.500 0.000 0.255
0.000 0.500 0.745
0.500 0.000 0.875
0.000 0.000 0.500
0.000 0.500 0.125
0.500 0.500 0.500
```